The following is a PBE calculation of a relaxed Pr2Ni4P3Pt crystal, from Alexandria via LeMat-Bulk.

```
Pr2Ni4P3Pt
1.0
-1.3177 -2.3964 2.9591
-1.9032 -2.2976 -2.7082
7.9490 -5.5034 -0.9170
Pr Ni P Pt
2 4 3 1
direct
0.5000 0.0000 0.2455 Pr
0.0000 0.5000 0.7545 Pr
0.5000 0.5000 0.0000 Ni
0.0000 0.0000 0.0000 Ni
0.5000 0.0000 0.6459 Ni
0.0000 0.5000 0.3541 Ni
0.0000 0.0000 0.5000 P
0.5000 0.0000 0.8768 P
0.0000 0.5000 0.1232 P
0.5000 0.5000 0.5000 Pt
```

- energy relative to the elements (kJ/mol of formula units) = -804



The following is a PBE calculation of a relaxed Sr2MnReN4 crystal, from Alexandria via LeMat-Bulk.

```
Sr2MnReN4
1.0
-2.4530 -4.9013 -1.8704
3.8598 -3.2584 3.4762
-4.6673 0.2638 5.4297
Sr Mn Re N
4 2 2 8
direct
0.5000 0.2450 0.2484 Sr
0.5000 0.2450 0.7516 Sr
0.0000 0.7550 0.7484 Sr
0.0000 0.7550 0.2516 Sr
0.0000 0.2208 0.5000 Mn
0.5000 0.7792 0.0000 Mn
0.5000 0.8020 0.5000 Re
0.0000 0.1980 0.0000 Re
0.2484 0.0041 0.0000 N
0.7484 0.9959 0.5000 N
0.2516 0.9959 0.5000 N
0.7516 0.0041 0.0000 N
0.5000 0.6597 0.7309 N
0.0000 0.3403 0.2309 N
0.0000 0.3403 0.7691 N
0.5000 0.6597 0.2691 N
```

- total DFT energy (no corrections) (eV per atom) = -7.86



The following is a PBE calculation of a relaxed VSn crystal, from Alexandria via LeMat-Bulk.

```
VSn
1.0
10.2512 0.0000 0.0000
0.0000 10.2512 0.0000
0.0000 0.0000 3.1871
V Sn
8 8
direct
0.4345 0.8813 0.0000 V
0.5655 0.1187 0.0000 V
0.1187 0.4345 0.0000 V
0.8813 0.5655 0.0000 V
0.9345 0.3813 0.5000 V
0.0655 0.6187 0.5000 V
0.6187 0.9345 0.5000 V
0.3813 0.0655 0.5000 V
0.3720 0.3076 0.0000 Sn
0.6280 0.6924 0.0000 Sn
0.6924 0.3720 0.0000 Sn
0.3076 0.6280 0.0000 Sn
0.8720 0.8076 0.5000 Sn
0.1280 0.1924 0.5000 Sn
0.1924 0.8720 0.5000 Sn
0.8076 0.1280 0.5000 Sn
```

- energy relative to the elements (kJ/mol of formula units) = 31



The following is a PBE calculation of a relaxed Sr2LaSb2 crystal, from Alexandria via LeMat-Bulk.

```
Sr2LaSb2
1.0
8.8619 0.0000 0.0000
0.0000 8.8619 0.0000
0.0000 0.0000 4.5702
Sb Sr La
4 4 2
direct
0.3365 0.8365 0.0000 Sb
0.8365 0.6635 0.0000 Sb
0.6635 0.1635 0.0000 Sb
0.1635 0.3365 0.0000 Sb
0.1428 0.6428 0.5000 Sr
0.6428 0.8572 0.5000 Sr
0.8572 0.3572 0.5000 Sr
0.3572 0.1428 0.5000 Sr
0.0000 0.0000 0.0000 La
0.5000 0.5000 0.0000 La
```

- offset from the most stable computed form (kcal/mol of atoms) = 0.00



The following is a PBE calculation of a relaxed Ca2TaTl crystal, from Alexandria via LeMat-Bulk.

```
Ca2TaTl
1.0
-2.6246 -3.0634 -2.7766
1.8733 -3.5818 2.1810
-3.3951 0.1067 3.0915
Tl Ca Ta
1 2 1
direct
0.5000 0.0000 0.5000 Tl
0.0000 0.0000 0.0000 Ca
0.0000 0.5000 0.5000 Ca
0.5000 0.5000 0.0000 Ta
```

- offset from the most stable computed form (kcal/mol of atoms) = 3.46
- energy relative to the elements (kJ/mol of formula units) = 191



The following is a PBE calculation of a relaxed Ta3Ti2Mo4 crystal, from Alexandria via LeMat-Bulk.

```
Ta3Ti2Mo4
1.0
-1.3764 -3.6425 -2.4289
3.0863 -2.5982 -2.1877
0.7477 -4.7347 6.6674
Ta Ti Mo
3 2 4
direct
0.3334 0.3334 0.5689 Ta
0.0000 0.0000 0.0000 Ta
0.6666 0.6666 0.4311 Ta
0.3332 0.3332 0.2164 Ti
0.6668 0.6668 0.7836 Ti
0.6666 0.6666 0.1088 Mo
0.0001 0.0001 0.6622 Mo
0.9999 0.9999 0.3378 Mo
0.3334 0.3334 0.8912 Mo
```

- energy relative to the elements (kJ/mol of formula units) = -117



The following is a PBE calculation of a relaxed CaLa2Br crystal, from Alexandria via LeMat-Bulk.

```
CaLa2Br
1.0
3.7720 -0.1933 0.0000
-1.4327 3.4947 0.0000
0.0000 0.0000 10.8272
Ca Br La
1 1 2
direct
0.5000 0.5000 0.7159 Ca
0.0000 0.0000 0.5069 Br
0.0000 0.0000 0.0059 La
0.5000 0.5000 0.2713 La
```

- total DFT energy (no corrections) (eV per atom) = -3.95



The following is a PBE calculation of a relaxed SrPI crystal, from Alexandria via LeMat-Bulk.

```
SrPI
1.0
4.3704 0.0000 0.0000
0.0000 6.6671 0.0000
-2.1852 -3.3336 7.5941
Sr P I
2 2 2
direct
0.8626 0.3626 0.7251 Sr
0.1374 0.6374 0.2749 Sr
0.5000 0.6570 0.0000 P
0.5000 0.3430 0.0000 P
0.1966 0.1966 0.3931 I
0.8034 0.8034 0.6069 I
```

- offset from the most stable computed form (kcal/mol of atoms) = 0.00



The following is a PBE calculation of a relaxed CrTc2Ru crystal, from Alexandria via LeMat-Bulk.

```
CrTc2Ru
1.0
-0.1168 -1.9278 1.8942
3.2358 1.2644 1.4864
-2.7845 3.3362 3.2238
Cr Ru Tc
1 1 2
direct
0.0000 0.0000 0.5041 Cr
0.5000 0.5000 0.7373 Ru
0.0000 0.0000 0.9997 Tc
0.5000 0.5000 0.2589 Tc
```

- offset from the most stable computed form (kcal/mol of atoms) = 0.28
- energy relative to the elements (kJ/mol of formula units) = 46



The following is a PBE calculation of a relaxed PuInSbO6 crystal, from Alexandria via LeMat-Bulk.

```
PuInSbO6
1.0
4.9649 0.0000 0.0000
0.0000 4.9649 0.0000
0.0000 0.0000 10.0123
Pu In Sb O
2 2 2 12
direct
0.5000 0.5000 0.8358 Pu
0.0000 0.0000 0.3358 Pu
0.5000 0.5000 0.1659 In
0.0000 0.0000 0.6659 In
0.5000 0.5000 0.5002 Sb
0.0000 0.0000 0.0002 Sb
0.2108 0.7892 0.5008 O
0.7892 0.2108 0.5008 O
0.2892 0.2892 0.0008 O
0.7108 0.7108 0.0008 O
0.1887 0.8113 0.1536 O
0.8113 0.1887 0.1536 O
0.3113 0.3113 0.6536 O
0.6887 0.6887 0.6536 O
0.8147 0.1853 0.8445 O
0.1853 0.8147 0.8445 O
0.6853 0.6853 0.3445 O
0.3147 0.3147 0.3445 O
```

- total DFT energy (no corrections) (eV per atom) = -7.62



The following is a PBE calculation of a relaxed Np2CuNi3P4 crystal, from Alexandria via LeMat-Bulk.

```
Np2CuNi3P4
1.0
-0.3531 0.2170 -4.0035
2.1519 -3.3808 -0.3731
-7.5978 -4.8809 0.4056
Np Cu Ni P
2 1 3 4
direct
0.5000 0.0000 0.2433 Np
0.0000 0.5000 0.7567 Np
0.5000 0.5000 0.5000 Cu
0.0000 0.0000 0.5000 Ni
0.5000 0.0000 0.8884 Ni
0.0000 0.5000 0.1116 Ni
0.5000 0.5000 0.0000 P
0.0000 0.0000 0.0000 P
0.5000 0.0000 0.6395 P
0.0000 0.5000 0.3605 P
```

- energy relative to the elements (kJ/mol of formula units) = -629



The following is a PBE calculation of a relaxed MgNi2As crystal, from Alexandria via LeMat-Bulk.

```
MgNi2As
1.0
-0.0126 -1.3276 -4.6989
4.3577 -0.2053 -2.1933
-2.3069 -1.7658 3.9246
As Mg Ni
1 1 2
direct
0.5221 0.5221 0.0000 As
0.2569 0.7569 0.5000 Mg
0.9894 0.9894 0.0000 Ni
0.7316 0.2316 0.5000 Ni
```

- energy relative to the elements (kJ/mol of formula units) = -81